Entry 1:
Density functional theory data (PBEsol) for ScAlPb after structural relaxation.

Properties
E_form = 103 meV/atom
mass density = 6.32 g/cm3
ΔE to the lowest computed polymorph = 230 meV per atom
symmetry = No. 216
V = 73.3 Å³/cell

Unit cell a=4.6985 b=4.6985 c=4.6985 alpha=60.00 beta=60.00 gamma=60.00
Fractional positions:
Pb (0.0000, 0.0000, 0.0000)
Sc (0.5000, 0.5000, 0.5000)
Al (0.7500, 0.7500, 0.7500)

---

Entry 2:
Density functional theory data (PBEsol) for Sc2AlPb after structural relaxation.

Properties
E_form = -385 meV/atom
mass density = 6.32 g/cm3
symmetry = No. 123
V = 85.1 Å³/cell

Unit cell a=3.1746 b=3.1746 c=8.4432 alpha=90.00 beta=90.00 gamma=90.00
Fractional positions:
Pb (0.5000, 0.5000, 0.5000)
Sc (0.0000, 0.0000, 0.7737)
Sc (0.0000, 0.0000, 0.2263)
Al (0.5000, 0.5000, 0.0000)

---

Entry 3:
Density functional theory data (PBEsol) for ScAlPb after structural relaxation.

Properties
E_form = -126 meV/atom
mass density = 7.12 g/cm3
ΔE to the lowest computed polymorph = 0 meV per atom
symmetry = No. 187
V = 65.1 Å³/cell

Unit cell a=3.1413 b=4.8918 c=4.8918 alpha=120.00 beta=90.00 gamma=90.00
Fractional positions:
Pb (0.8332, 0.6667, 0.3333)
Sc (0.3332, 0.3333, 0.6667)
Al (0.8336, 0.0000, 0.0000)

---

Entry 4:
Density functional theory data (PBEsol) for Sc2AlPb after structural relaxation.

Properties
E_form = -202 meV/atom
mass density = 6.05 g/cm3
symmetry = No. 25
V = 88.9 Å³/cell

Unit cell a=3.4862 b=4.2377 c=6.0180 alpha=90.00 beta=90.00 gamma=90.00
Fractional positions:
Pb (0.5000, 0.5000, 0.7610)
Sc (0.0000, 0.0000, 0.0023)
Sc (0.5000, 0.5000, 0.2678)
Al (0.0000, 0.0000, 0.4690)

---

Entry 5:
Density functional theory data (PBEsol) for Sr2ScAlPb after structural relaxation.

Properties
E_form = 205 meV/atom
mass density = 4.05 g/cm3
symmetry = No. 123
V = 186.1 Å³/cell

Unit cell a=5.2005 b=5.9827 c=5.9827 alpha=90.00 beta=90.00 gamma=90.00
Fractional positions:
Pb (0.5000, 0.5000, 0.5000)
Sr (0.0000, 0.0000, 0.5000)
Sr (0.0000, 0.5000, 0.0000)
Sc (0.5000, 0.0000, 0.0000)
Al (0.0000, 0.0000, 0.0000)

---

Entry 6:
Density functional theory data (PBEsol) for AlPb2Se after structural relaxation.

Properties
raw formation energy = 0.09 eV per atom
mass density = 8.65 g/cm3
ΔE to the lowest computed polymorph = 46 meV per atom
symmetry = No. 139
V = 99.9 Å³/cell

Unit cell a=4.7105 b=4.7105 c=5.6011 alpha=114.87 beta=114.87 gamma=90.00
Fractional positions:
Pb (0.7500, 0.2500, 0.5000)
Pb (0.2500, 0.7500, 0.5000)
Al (0.0000, 0.0000, 0.0000)
Se (0.5000, 0.5000, 0.0000)